Record 1
# Zr2TaSb (PBE, optimized geometry)
data_Zr2TaSb
_space_group_name_H-M_alt 'C m m 2'
_space_group_IT_number 35
_cell_length_a 3.7450
_cell_length_b 5.1232
_cell_length_c 9.0944
_cell_angle_alpha 90.00
_cell_angle_beta 90.00
_cell_angle_gamma 90.00
loop_
_space_group_symop_operation_xyz
'x,y,z'
'-x,-y,z'
'-x,y,z'
'x,-y,z'
'x+1/2,y+1/2,z'
'-x+1/2,-y+1/2,z'
'-x+1/2,y+1/2,z'
'x+1/2,-y+1/2,z'
loop_
_atom_site_label
_atom_site_fract_x
_atom_site_fract_y
_atom_site_fract_z
Zr1 0.0000 0.0000 0.0000
Zr2 0.0000 0.5000 0.2688
Ta1 0.0000 0.5000 0.7544
Sb1 0.0000 0.0000 0.5203
# Crystal system: orthorhombic
# Electronic total energy, eV/cell: -66.15

=====

Record 2
# PtAu2Se (PBE, optimized geometry)
data_PtAu2Se
_space_group_name_H-M_alt 'F -4 3 m'
_space_group_IT_number 216
_space_group_name_Hall 'F -4 2 3'
_cell_length_a 6.6008
_cell_length_b 6.6008
_cell_length_c 6.6008
_cell_angle_alpha 90.00
_cell_angle_beta 90.00
_cell_angle_gamma 90.00
loop_
_atom_site_label
_atom_site_fract_x
_atom_site_fract_y
_atom_site_fract_z
Pt1 0.0000 0.0000 0.0000
Au1 0.0000 0.0000 0.5000
Au2 0.2500 0.2500 0.2500
Se1 0.2500 0.2500 0.7500
# Crystal system: cubic
# Electronic total energy, eV/cell: -59.35

=====

> What is the formula in the second record?

PtAu2Se

=====

> The lowest electronic total energy belongs to which entry?

Zr2TaSb

=====

> Which value of electronic total energy does entry 1 give?

-66.15 eV/cell